(1)
# Ta2Al2PdPt

Crystalline Ta2Al2PdPt at its relaxed geometry (PBE, OQMD via LeMat-Bulk).

a b c (Å): 7.4092 4.2775 14.1874
angles (deg): 90.00 100.02 90.00
Fractional coordinates of all 24 atoms:
Ta1 0.0000 0.0000 0.0000
Ta2 0.9997 0.5000 0.4999
Ta3 0.2499 0.0000 0.7500
Ta4 0.2498 0.5000 0.2504
Ta5 0.4995 0.5000 0.0000
Ta6 0.4998 0.0000 0.5000
Ta7 0.7499 0.0000 0.2504
Ta8 0.7495 0.5000 0.7499
Al1 0.1252 0.0000 0.3760
Al2 0.1261 0.5000 0.8753
Al3 0.3746 0.0000 0.1245
Al4 0.3759 0.5000 0.6247
Al5 0.6233 0.0000 0.8745
Al6 0.6250 0.5000 0.3760
Al7 0.8733 0.0000 0.6244
Al8 0.8748 0.5000 0.1251
Pd1 0.3124 0.0000 0.9376
Pd2 0.3125 0.5000 0.4378
Pd3 0.5623 0.0000 0.6874
Pd4 0.8122 0.0000 0.4379
Pt1 0.0621 0.0000 0.1874
Pt2 0.0620 0.5000 0.6873
Pt3 0.5623 0.5000 0.1874
Pt4 0.8121 0.5000 0.9376

=====

(2)
# TbAlPdPt

Crystalline TbAlPdPt at its relaxed geometry (PBE, OQMD via LeMat-Bulk).

## Properties
energy above the most stable polymorph in this dataset: 0.000 eV/atom

a b c (Å): 4.3574 4.3574 9.2471
angles (deg): 90.00 90.00 120.00
Fractional coordinates of all 8 atoms:
Tb1 0.3333 0.6667 0.0000
Tb2 0.6667 0.3333 0.5000
Al1 0.0000 0.0000 0.2396
Al2 0.0000 0.0000 0.7396
Pd1 0.3333 0.6667 0.3306
Pd2 0.6667 0.3333 0.8306
Pt1 0.3333 0.6667 0.6696
Pt2 0.6667 0.3333 0.1696

=====

(3)
# Tb2Al2Pd3Pt

Crystalline Tb2Al2Pd3Pt at its relaxed geometry (PBE, OQMD via LeMat-Bulk).

a b c (Å): 4.3600 4.3600 9.2209
angles (deg): 90.00 90.00 120.00
Fractional coordinates of all 8 atoms:
Tb1 0.0000 0.0000 0.0000
Tb2 0.3333 0.6667 0.5038
Al1 0.6667 0.3333 0.2500
Al2 0.6667 0.3333 0.7450
Pd1 0.0000 0.0000 0.3287
Pd2 0.3333 0.6667 0.1718
Pd3 0.3333 0.6667 0.8350
Pt1 0.0000 0.0000 0.6728

=====

(4)
# TbAlPdPt

Crystalline TbAlPdPt at its relaxed geometry (PBE, OQMD via LeMat-Bulk).

## Properties
energy above the most stable polymorph in this dataset: 0.006 eV/atom

a b c (Å): 4.3579 4.3579 9.2535
angles (deg): 90.00 90.00 120.00
Fractional coordinates of all 8 atoms:
Tb1 0.0000 0.0000 0.0000
Tb2 0.3333 0.6667 0.5000
Al1 0.6667 0.3333 0.2562
Al2 0.6667 0.3333 0.7438
Pd1 0.3333 0.6667 0.1660
Pd2 0.3333 0.6667 0.8340
Pt1 0.0000 0.0000 0.3248
Pt2 0.0000 0.0000 0.6752

=====

(5)
# TbAlPdPt

Crystalline TbAlPdPt at its relaxed geometry (PBE, OQMD via LeMat-Bulk).

## Properties
energy above the most stable polymorph in this dataset: 0.013 eV/atom

a b c (Å): 4.3570 4.3570 9.2548
angles (deg): 90.00 90.00 120.00
Fractional coordinates of all 8 atoms:
Tb1 0.3333 0.6667 0.2461
Tb2 0.6667 0.3333 0.7539
Al1 0.0000 0.0000 0.0000
Al2 0.0000 0.0000 0.5000
Pd1 0.3333 0.6667 0.5780
Pd2 0.6667 0.3333 0.4220
Pt1 0.3333 0.6667 0.9161
Pt2 0.6667 0.3333 0.0839

=====

(6)
# Tm2Al2PdPt3

Crystalline Tm2Al2PdPt3 at its relaxed geometry (PBE, OQMD via LeMat-Bulk).

a b c (Å): 4.3276 4.3276 9.1119
angles (deg): 90.00 90.00 120.00
Fractional coordinates of all 8 atoms:
Tm1 0.0000 0.0000 0.0000
Tm2 0.3333 0.6667 0.4966
Al1 0.6667 0.3333 0.2466
Al2 0.6667 0.3333 0.7415
Pd1 0.3333 0.6667 0.8331
Pt1 0.0000 0.0000 0.3329
Pt2 0.0000 0.0000 0.6672
Pt3 0.3333 0.6667 0.1606

=====

(7)
# Tm2Al2Pd3Pt

Crystalline Tm2Al2Pd3Pt at its relaxed geometry (PBE, OQMD via LeMat-Bulk).

a b c (Å): 4.3380 4.3380 9.0507
angles (deg): 90.00 90.00 120.00
Fractional coordinates of all 8 atoms:
Tm1 0.0000 0.0000 0.0000
Tm2 0.3333 0.6667 0.5045
Al1 0.6667 0.3333 0.2500
Al2 0.6667 0.3333 0.7457
Pd1 0.0000 0.0000 0.3319
Pd2 0.3333 0.6667 0.1695
Pd3 0.3333 0.6667 0.8379
Pt1 0.0000 0.0000 0.6698

=====

(8)
# Tm2Al2PdPt3

Crystalline Tm2Al2PdPt3 at its relaxed geometry (PBE, OQMD via LeMat-Bulk).

a b c (Å): 4.3314 4.3314 9.0873
angles (deg): 90.00 90.00 120.00
Fractional coordinates of all 8 atoms:
Tm1 0.0000 0.0000 0.0000
Tm2 0.3333 0.6667 0.5035
Al1 0.6667 0.3333 0.2584
Al2 0.6667 0.3333 0.7536
Pd1 0.3333 0.6667 0.1668
Pt1 0.0000 0.0000 0.3333
Pt2 0.0000 0.0000 0.6672
Pt3 0.3333 0.6667 0.8395

=====

(9)
# Tm2Al2Pd3Pt

Crystalline Tm2Al2Pd3Pt at its relaxed geometry (PBE, OQMD via LeMat-Bulk).

a b c (Å): 4.3432 4.3432 9.0285
angles (deg): 90.00 90.00 120.00
Fractional coordinates of all 8 atoms:
Tm1 0.0000 0.0000 0.0000
Tm2 0.3333 0.6667 0.4953
Al1 0.6667 0.3333 0.2556
Al2 0.6667 0.3333 0.7501
Pd1 0.0000 0.0000 0.6687
Pd2 0.3333 0.6667 0.1617
Pd3 0.3333 0.6667 0.8297
Pt1 0.0000 0.0000 0.3295

=====

(10)
# Y2Al4PdPt

Crystalline Y2Al4PdPt at its relaxed geometry (PBE, OQMD via LeMat-Bulk).

a b c (Å): 6.9604 5.5832 5.5832
angles (deg): 44.92 90.00 90.00
Fractional coordinates of all 8 atoms:
Y1 0.0000 0.0000 0.0000
Y2 0.5000 0.1410 0.1410
Al1 0.1960 0.7151 0.7151
Al2 0.3035 0.4273 0.4273
Al3 0.6965 0.4273 0.4273
Al4 0.8040 0.7151 0.7151
Pd1 0.5000 0.8591 0.8591
Pt1 0.0000 0.2830 0.2830

=====

(11)
# Y2Al2Pd3Pt

Crystalline Y2Al2Pd3Pt at its relaxed geometry (PBE, OQMD via LeMat-Bulk).

a b c (Å): 4.3572 4.3572 9.2197
angles (deg): 90.00 90.00 120.00
Fractional coordinates of all 8 atoms:
Y1 0.0000 0.0000 0.0000
Y2 0.3333 0.6667 0.5054
Al1 0.6667 0.3333 0.2501
Al2 0.6667 0.3333 0.7454
Pd1 0.0000 0.0000 0.3293
Pd2 0.3333 0.6667 0.1716
Pd3 0.3333 0.6667 0.8357
Pt1 0.0000 0.0000 0.6723

=====

(12)
# Zr3Al2ZnPdPt2

Crystalline Zr3Al2ZnPdPt2 at its relaxed geometry (PBE, OQMD via LeMat-Bulk).

a b c (Å): 3.5275 7.2388 7.2388
angles (deg): 119.50 90.00 90.00
Fractional coordinates of all 9 atoms:
Zr1 0.0000 0.0000 0.0000
Zr2 0.0000 0.4158 0.8110
Zr3 0.0000 0.8110 0.4158
Al1 0.5000 0.1477 0.4055
Al2 0.5000 0.4055 0.1477
Zn1 0.5000 0.6745 0.6745
Pd1 0.0000 0.4041 0.4041
Pt1 0.5000 0.0836 0.7435
Pt2 0.5000 0.7435 0.0836

=====

(13)
# Zr3Al3Pd2Pt

Crystalline Zr3Al3Pd2Pt at its relaxed geometry (PBE, OQMD via LeMat-Bulk).

a b c (Å): 7.1515 7.1515 3.6456
angles (deg): 90.00 90.00 120.00
Fractional coordinates of all 9 atoms:
Zr1 0.0000 0.4015 0.0000
Zr2 0.4015 0.0000 0.0000
Zr3 0.5985 0.5985 0.0000
Al1 0.0000 0.7425 0.5000
Al2 0.2575 0.2575 0.5000
Al3 0.7425 0.0000 0.5000
Pd1 0.3333 0.6667 0.5000
Pd2 0.6667 0.3333 0.5000
Pt1 0.0000 0.0000 0.0000

=====

(14)
# Zr2Al2PdPt

Crystalline Zr2Al2PdPt at its relaxed geometry (PBE, OQMD via LeMat-Bulk).

a b c (Å): 4.5648 4.5648 5.7836
angles (deg): 90.00 90.00 120.00
Fractional coordinates of all 6 atoms:
Zr1 0.0000 0.0000 0.2491
Zr2 0.0000 0.0000 0.7509
Al1 0.3333 0.6667 0.0000
Al2 0.6667 0.3333 0.5000
Pd1 0.3333 0.6667 0.5000
Pt1 0.6667 0.3333 0.0000

=====

(15)
# Pu2AlPd3

Crystalline Pu2AlPd3 at its relaxed geometry (PBE, OQMD via LeMat-Bulk).

a b c (Å): 5.6122 5.6122 8.3132
angles (deg): 90.00 90.00 120.00
Fractional coordinates of all 12 atoms:
Pu1 0.3333 0.6667 0.0711
Pu2 0.3333 0.6667 0.4289
Pu3 0.6667 0.3333 0.5711
Pu4 0.6667 0.3333 0.9289
Al1 0.0000 0.0000 0.0000
Al2 0.0000 0.0000 0.5000
Pd1 0.1680 0.3360 0.7500
Pd2 0.1680 0.8320 0.7500
Pd3 0.3360 0.1680 0.2500
Pd4 0.6640 0.8320 0.7500
Pd5 0.8320 0.1680 0.2500
Pd6 0.8320 0.6640 0.2500

=====

(16)
# RbAlPdS3

Crystalline RbAlPdS3 at its relaxed geometry (PBE, OQMD via LeMat-Bulk).

a b c (Å): 14.6755 3.6922 10.5725
angles (deg): 90.00 90.00 90.00
Fractional coordinates of all 24 atoms:
Rb1 0.2280 0.2500 0.0513
Rb2 0.2720 0.7500 0.5513
Rb3 0.7280 0.2500 0.4487
Rb4 0.7720 0.7500 0.9487
Al1 0.0083 0.2500 0.3648
Al2 0.4917 0.7500 0.8648
Al3 0.5083 0.2500 0.1352
Al4 0.9917 0.7500 0.6352
Pd1 0.0024 0.2500 0.9099
Pd2 0.4976 0.7500 0.4099
Pd3 0.5024 0.2500 0.5901
Pd4 0.9976 0.7500 0.0901
S1 0.0801 0.7500 0.8335
S2 0.0887 0.2500 0.5572
S3 0.0990 0.7500 0.2688
S4 0.4010 0.2500 0.7688
S5 0.4113 0.7500 0.0572
S6 0.4199 0.2500 0.3335
S7 0.5801 0.7500 0.6665
S8 0.5887 0.2500 0.9428
S9 0.5990 0.7500 0.2312
S10 0.9010 0.2500 0.7312
S11 0.9113 0.7500 0.4428
S12 0.9199 0.2500 0.1665

=====

(17)
# RbAlPdS3

Crystalline RbAlPdS3 at its relaxed geometry (PBE, OQMD via LeMat-Bulk).

a b c (Å): 8.5428 3.6861 9.6602
angles (deg): 90.00 109.25 90.00
Fractional coordinates of all 12 atoms:
Rb1 0.2072 0.2500 0.2519
Rb2 0.7928 0.7500 0.7481
Al1 0.3576 0.7500 0.8703
Al2 0.6424 0.2500 0.1297
Pd1 0.0950 0.2500 0.5864
Pd2 0.9050 0.7500 0.4136
S1 0.1544 0.2500 0.8473
S2 0.2635 0.7500 0.5993
S3 0.4501 0.7500 0.1288
S4 0.5499 0.2500 0.8712
S5 0.7365 0.2500 0.4007
S6 0.8456 0.7500 0.1527

=====

(18)
# RbAlPdSe3

Crystalline RbAlPdSe3 at its relaxed geometry (PBE, OQMD via LeMat-Bulk).

a b c (Å): 8.8878 3.8829 9.8910
angles (deg): 90.00 108.38 90.00
Fractional coordinates of all 12 atoms:
Rb1 0.2003 0.2500 0.2549
Rb2 0.7997 0.7500 0.7451
Al1 0.3573 0.7500 0.8682
Al2 0.6427 0.2500 0.1318
Pd1 0.0860 0.2500 0.5808
Pd2 0.9140 0.7500 0.4192
Se1 0.1522 0.2500 0.8483
Se2 0.2581 0.7500 0.5914
Se3 0.4460 0.7500 0.1345
Se4 0.5540 0.2500 0.8655
Se5 0.7419 0.2500 0.4086
Se6 0.8478 0.7500 0.1517

=====

(19)
# RbAlPdSe3

Crystalline RbAlPdSe3 at its relaxed geometry (PBE, OQMD via LeMat-Bulk).

a b c (Å): 15.1392 3.8701 11.0118
angles (deg): 90.00 90.00 90.00
Fractional coordinates of all 24 atoms:
Rb1 0.2229 0.2500 0.0511
Rb2 0.2771 0.7500 0.5511
Rb3 0.7229 0.2500 0.4489
Rb4 0.7771 0.7500 0.9489
Al1 0.0069 0.2500 0.3629
Al2 0.4931 0.7500 0.8629
Al3 0.5069 0.2500 0.1371
Al4 0.9931 0.7500 0.6371
Pd1 0.0021 0.2500 0.9170
Pd2 0.4979 0.7500 0.4170
Pd3 0.5021 0.2500 0.5830
Pd4 0.9979 0.7500 0.0830
Se1 0.0834 0.7500 0.8377
Se2 0.0935 0.2500 0.5561
Se3 0.0998 0.7500 0.2648
Se4 0.4002 0.2500 0.7648
Se5 0.4065 0.7500 0.0561
Se6 0.4166 0.2500 0.3377
Se7 0.5834 0.7500 0.6623
Se8 0.5935 0.2500 0.9439
Se9 0.5998 0.7500 0.2352
Se10 0.9002 0.2500 0.7352
Se11 0.9065 0.7500 0.4439
Se12 0.9166 0.2500 0.1623

=====

(20)
# RbAlTe3Pd

Crystalline RbAlTe3Pd at its relaxed geometry (PBE, OQMD via LeMat-Bulk).

a b c (Å): 9.4000 4.3573 10.1774
angles (deg): 90.00 105.83 90.00
Fractional coordinates of all 12 atoms:
Rb1 0.1926 0.2500 0.2629
Rb2 0.8074 0.7500 0.7371
Al1 0.3510 0.7500 0.8776
Al2 0.6490 0.2500 0.1224
Te1 0.1465 0.2500 0.8628
Te2 0.2134 0.7500 0.5962
Te3 0.4557 0.7500 0.1532
Te4 0.5443 0.2500 0.8468
Te5 0.7866 0.2500 0.4038
Te6 0.8535 0.7500 0.1372
Pd1 0.0536 0.2500 0.5921
Pd2 0.9464 0.7500 0.4079

=====

(21)
# RbAlTe3Pd

Crystalline RbAlTe3Pd at its relaxed geometry (PBE, OQMD via LeMat-Bulk).

a b c (Å): 15.6268 4.3534 11.8091
angles (deg): 90.00 90.00 90.00
Fractional coordinates of all 24 atoms:
Rb1 0.2143 0.2500 0.0394
Rb2 0.2857 0.7500 0.5394
Rb3 0.7143 0.2500 0.4606
Rb4 0.7857 0.7500 0.9606
Al1 0.0139 0.2500 0.3655
Al2 0.4861 0.7500 0.8655
Al3 0.5139 0.2500 0.1345
Al4 0.9861 0.7500 0.6345
Te1 0.0574 0.7500 0.8518
Te2 0.0979 0.2500 0.5655
Te3 0.1095 0.7500 0.2677
Te4 0.3905 0.2500 0.7677
Te5 0.4021 0.7500 0.0655
Te6 0.4426 0.2500 0.3518
Te7 0.5574 0.7500 0.6482
Te8 0.5979 0.2500 0.9345
Te9 0.6095 0.7500 0.2323
Te10 0.8905 0.2500 0.7323
Te11 0.9021 0.7500 0.4345
Te12 0.9426 0.2500 0.1482
Pd1 0.0214 0.7500 0.0750
Pd2 0.4786 0.2500 0.5750
Pd3 0.5214 0.7500 0.4250
Pd4 0.9786 0.2500 0.9250

=====

| no. | calculated total energy (eV/cell) |
| --- | --- |
| 1 | -181.3 |
| 2 | -47.9 |
| 3 | -46.4 |
| 4 | -47.8 |
| 5 | -47.8 |
| 6 | -49.1 |
| 7 | -46.3 |
| 8 | -49.1 |
| 9 | -46.3 |
| 10 | -46.4 |
| 11 | -50.1 |
| 12 | -59.7 |
| 13 | -60.9 |
| 14 | -40.9 |
| 15 | -103.8 |
| 16 | -107.3 |
| 17 | -53.7 |
| 18 | -49.0 |
| 19 | -98.0 |
| 20 | -44.8 |
| 21 | -89.5 |